## P
DFT (GGA-PBE) results for an optimized crystal structure of PaAu2Cl8.

CIF file:
```
data_PaAu2Cl8
_space_group_name_H-M_alt 'C 1 2/m 1'
_space_group_IT_number 12
_space_group_name_Hall '-C 2y'
_cell_length_a 15.807
_cell_length_b 6.944
_cell_length_c 7.994
_cell_angle_alpha 90.00
_cell_angle_beta 118.06
_cell_angle_gamma 90.00
loop_
_atom_site_label
_atom_site_fract_x
_atom_site_fract_y
_atom_site_fract_z
_atom_site_occupancy
Pa1 0.000 0.000 0.000 1
Au1 0.243 0.000 0.464 1
Cl1 0.083 0.000 0.390 1
Cl2 0.101 0.500 0.459 1
Cl3 0.114 0.250 0.000 1
```

Summary:
N(E_F) (states/eV/f.u.): 12.30

---

## Q
DFT (GGA-PBE) results for an optimized crystal structure of PaAu2Cl8.

CIF file:
```
data_PaAu2Cl8
_space_group_name_H-M_alt 'C 1 2/m 1'
_space_group_IT_number 12
_space_group_name_Hall '-C 2y'
_cell_length_a 13.459
_cell_length_b 8.070
_cell_length_c 7.252
_cell_angle_alpha 90.00
_cell_angle_beta 91.00
_cell_angle_gamma 90.00
loop_
_atom_site_label
_atom_site_fract_x
_atom_site_fract_y
_atom_site_fract_z
_atom_site_occupancy
Pa1 0.000 0.000 0.000 1
Au1 0.223 0.000 0.757 1
Cl1 0.110 0.229 0.854 1
Cl2 0.111 0.000 0.282 1
Cl3 0.124 0.500 0.370 1
```

Summary:
N(E_F) (states/eV/f.u.): 5.30

---

Winner for stability: P

---

## P
DFT (GGA-PBE) results for an optimized crystal structure of PbAuCl.

CIF file:
```
data_PbAuCl
_space_group_name_H-M_alt 'F -4 3 m'
_space_group_IT_number 216
_space_group_name_Hall 'F -4 2 3'
_cell_length_a 7.078
_cell_length_b 7.078
_cell_length_c 7.078
_cell_angle_alpha 90.00
_cell_angle_beta 90.00
_cell_angle_gamma 90.00
loop_
_atom_site_label
_atom_site_fract_x
_atom_site_fract_y
_atom_site_fract_z
_atom_site_occupancy
Pb1 0.000 0.000 0.000 1
Au1 0.250 0.250 0.250 1
Cl1 0.250 0.250 0.750 1
```

---

## Q
DFT (GGA-PBE) results for an optimized crystal structure of PbAuCl.

CIF file:
```
data_PbAuCl
_space_group_name_H-M_alt 'P 3 m 1'
_space_group_IT_number 156
_space_group_name_Hall 'P 3 -2"'
_cell_length_a 4.2077
_cell_length_b 4.2077
_cell_length_c 5.5185
_cell_angle_alpha 90.00
_cell_angle_beta 90.00
_cell_angle_gamma 120.00
loop_
_atom_site_label
_atom_site_fract_x
_atom_site_fract_y
_atom_site_fract_z
_atom_site_occupancy
Pb1 0.0000 0.0000 0.0000 1
Au1 0.3333 0.6667 0.2954 1
Cl1 0.6667 0.3333 0.6624 1
```

Summary:
N(E_F) (states/eV/f.u.): 0.10

---

Winner for stability: Q

---

## P
DFT (GGA-PBE) results for an optimized crystal structure of PbAuCl2.

CIF file:
```
data_PbAuCl2
_space_group_name_H-M_alt 'F -4 3 m'
_space_group_IT_number 216
_space_group_name_Hall 'F -4 2 3'
_cell_length_a 7.200
_cell_length_b 7.200
_cell_length_c 7.200
_cell_angle_alpha 90.00
_cell_angle_beta 90.00
_cell_angle_gamma 90.00
loop_
_atom_site_label
_atom_site_fract_x
_atom_site_fract_y
_atom_site_fract_z
_atom_site_occupancy
Pb1 0.000 0.000 0.000 1
Au1 0.250 0.250 0.250 1
Cl1 0.000 0.000 0.500 1
Cl2 0.250 0.250 0.750 1
```

Summary:
N(E_F) (states/eV/f.u.): 5.28

---

## Q
DFT (GGA-PBE) results for an optimized crystal structure of PbAuCl2.

CIF file:
```
data_PbAuCl2
_space_group_name_H-M_alt 'P 4 m m'
_space_group_IT_number 99
_space_group_name_Hall 'P 4 -2'
_cell_length_a 3.625
_cell_length_b 3.625
_cell_length_c 7.980
_cell_angle_alpha 90.00
_cell_angle_beta 90.00
_cell_angle_gamma 90.00
loop_
_atom_site_label
_atom_site_fract_x
_atom_site_fract_y
_atom_site_fract_z
_atom_site_occupancy
Pb1 0.000 0.000 0.000 1
Au1 0.500 0.500 0.226 1
Cl1 0.000 0.000 0.392 1
Cl2 0.500 0.500 0.786 1
```

Summary:
N(E_F) (states/eV/f.u.): 2.57

---

Winner for stability: Q

---

## P
DFT (GGA-PBE) results for an optimized crystal structure of PbAuCl2.

CIF file:
```
data_PbAuCl2
_space_group_name_H-M_alt 'P m m m'
_space_group_IT_number 47
_space_group_name_Hall '-P 2 2'
_cell_length_a 3.988
_cell_length_b 4.330
_cell_length_c 5.589
_cell_angle_alpha 90.00
_cell_angle_beta 90.00
_cell_angle_gamma 90.00
loop_
_atom_site_label
_atom_site_fract_x
_atom_site_fract_y
_atom_site_fract_z
_atom_site_occupancy
Pb1 0.000 0.000 0.000 1
Au1 0.500 0.000 0.500 1
Cl1 0.000 0.500 0.500 1
Cl2 0.500 0.500 0.000 1
```

Summary:
N(E_F) (states/eV/f.u.): 2.46

---

## Q
DFT (GGA-PBE) results for an optimized crystal structure of PbAuCl2.

CIF file:
```
data_PbAuCl2
_space_group_name_H-M_alt 'P m m 2'
_space_group_IT_number 25
_space_group_name_Hall 'P 2 -2'
_cell_length_a 4.254
_cell_length_b 4.266
_cell_length_c 5.626
_cell_angle_alpha 90.00
_cell_angle_beta 90.00
_cell_angle_gamma 90.00
loop_
_atom_site_label
_atom_site_fract_x
_atom_site_fract_y
_atom_site_fract_z
_atom_site_occupancy
Pb1 0.000 0.000 0.000 1
Au1 0.500 0.500 0.252 1
Cl1 0.000 0.000 0.477 1
Cl2 0.500 0.500 0.761 1
```

Summary:
N(E_F) (states/eV/f.u.): 2.87

---

Winner for stability: Q